(1)
The following is a DFT calculation (PBE-GGA) of crystalline CuAgS at its relaxed geometry.

ρ (g/cm³): 6.10
Magnetization (μB/cell): 0.0
VASP energy (eV per atom): -3.794
E_form (uncorrected) (eV/atom): -0.1023

Unit cell a=8.302 b=4.022 c=6.629 alpha=90.00 beta=90.00 gamma=90.00
Sites, in units of the cell vectors:
Cu: 0.239 0.250 0.203
Cu: 0.261 0.750 0.703
Cu: 0.739 0.250 0.297
Cu: 0.761 0.750 0.797
Ag: 0.014 0.250 0.823
Ag: 0.486 0.750 0.323
Ag: 0.514 0.250 0.677
Ag: 0.986 0.750 0.177
S: 0.229 0.250 0.555
S: 0.271 0.750 0.055
S: 0.729 0.250 0.945
S: 0.771 0.750 0.445



(2)
The following is a DFT calculation (PBE-GGA) of crystalline Cu3AgS at its relaxed geometry.

Density of states at the Fermi level (states/eV per atom): 0.36
ρ (g/cm³): 6.53
Magnetization (μB/cell): 0.0
Energy relative to the lowest polymorph listed for this composition (meV per atom): 0.0
VASP energy (eV per atom): -3.529
E_form (uncorrected) (eV/atom): 0.3239

Unit cell a=4.380 b=4.380 c=4.380 alpha=90.00 beta=90.00 gamma=90.00
Sites, in units of the cell vectors:
Cu: 0.000 0.000 0.500
Cu: 0.000 0.500 0.000
Cu: 0.500 0.000 0.000
Ag: 0.500 0.500 0.500
S: 0.000 0.000 0.000



(3)
The following is a DFT calculation (PBE-GGA) of crystalline Cu5AgS4 at its relaxed geometry.

Density of states at the Fermi level (states/eV per atom): 0.42
ρ (g/cm³): 5.08
Magnetization (μB/cell): 0.0
VASP energy (eV per atom): -4.097
E_form (uncorrected) (eV/atom): -0.1131

Unit cell a=7.585 b=8.937 c=5.337 alpha=90.00 beta=90.00 gamma=90.00
Sites, in units of the cell vectors:
Cu: 0.012 0.089 0.177
Cu: 0.012 0.411 0.177
Cu: 0.250 0.750 0.287
Cu: 0.488 0.089 0.177
Cu: 0.488 0.411 0.177
Cu: 0.512 0.589 0.823
Cu: 0.512 0.911 0.823
Cu: 0.750 0.250 0.713
Cu: 0.988 0.589 0.823
Cu: 0.988 0.911 0.823
Ag: 0.250 0.250 0.804
Ag: 0.750 0.750 0.196
S: 0.000 0.250 0.485
S: 0.000 0.750 0.515
S: 0.250 0.537 0.028
S: 0.250 0.963 0.028
S: 0.500 0.250 0.485
S: 0.500 0.750 0.515
S: 0.750 0.037 0.972
S: 0.750 0.463 0.972



(4)
The following is a DFT calculation (PBE-GGA) of crystalline Cu3AgS3 at its relaxed geometry.

Density of states at the Fermi level (states/eV per atom): 0.98
ρ (g/cm³): 5.35
Magnetization (μB/cell): 0.0
VASP energy (eV per atom): -4.027
E_form (uncorrected) (eV/atom): -0.0948

Unit cell a=7.574 b=7.574 c=7.574 alpha=51.39 beta=51.39 gamma=51.39
Sites, in units of the cell vectors:
Cu: 0.127 0.792 0.458
Cu: 0.208 0.542 0.873
Cu: 0.458 0.127 0.792
Cu: 0.542 0.873 0.208
Cu: 0.792 0.458 0.127
Cu: 0.873 0.208 0.542
Ag: 0.334 0.334 0.334
Ag: 0.666 0.666 0.666
S: 0.084 0.422 0.754
S: 0.246 0.916 0.578
S: 0.422 0.754 0.084
S: 0.578 0.246 0.916
S: 0.754 0.084 0.422
S: 0.916 0.578 0.246



(5)
The following is a DFT calculation (PBE-GGA) of crystalline CuAg2S at its relaxed geometry.

Density of states at the Fermi level (states/eV per atom): 0.47
ρ (g/cm³): 7.48
Magnetization (μB/cell): 0.0
VASP energy (eV per atom): -3.026
E_form (uncorrected) (eV/atom): 0.4552

Unit cell a=9.873 b=9.873 c=9.873 alpha=16.68 beta=16.68 gamma=16.68
Sites, in units of the cell vectors:
Cu: 0.000 0.000 0.000
Ag: 0.087 0.087 0.087
Ag: 0.913 0.913 0.913
S: 0.500 0.500 0.500



(6)
The following is a DFT calculation (PBE-GGA) of crystalline CuAgS at its relaxed geometry.

Density of states at the Fermi level (states/eV per atom): 0.00
ρ (g/cm³): 5.89
Magnetization (μB/cell): 0.0
VASP energy (eV per atom): -3.794
E_form (uncorrected) (eV/atom): -0.1024

Unit cell a=3.944 b=3.944 c=8.468 alpha=90.00 beta=90.00 gamma=119.48
Sites, in units of the cell vectors:
Cu: 0.023 0.977 0.750
Cu: 0.977 0.023 0.250
Ag: 0.500 0.500 0.000
Ag: 0.500 0.500 0.500
S: 0.317 0.683 0.250
S: 0.683 0.317 0.750